(1)
A relaxed FeRu2Se crystal, computed with PBE. Values from VASP.

- Total moment: 4.3 μB per cell
- Uncorrected formation energy: 2.071 eV per formula unit
- N(E_F): 4.7 states/eV per cell
- SG: Cmmm, No. 65
- Calculated volume: 14.80 A^3/atom

Geometry as Quantum ESPRESSO input:
```
&SYSTEM
  ibrav = 0, nat = 4, ntyp = 3
/
ATOMIC_SPECIES
Fe 55.84 Fe.upf
Ru 101.07 Ru.upf
Se 78.96 Se.upf
CELL_PARAMETERS angstrom
1.461 -2.363 0.000
1.461 2.363 0.000
0.000 0.000 8.570
ATOMIC_POSITIONS angstrom
Fe 0.000 0.000 0.000
Ru 1.461 0.000 2.038
Ru 1.461 0.000 6.532
Se 0.000 0.000 4.285
```

---

(2)
A relaxed VInIr3 crystal, computed with PBE. Values from VASP.

- Total moment: 0.0 μB per cell
- Formation enthalpy at 0 K: 91.8 kJ/mol of atoms
- N(E_F): 4.8 states/eV per cell
- SG: Pm-3m, No. 221
- Calculated volume: 19.05 A^3/atom

Geometry as Quantum ESPRESSO input:
```
&SYSTEM
  ibrav = 0, nat = 5, ntyp = 3
/
ATOMIC_SPECIES
V 50.94 V.upf
In 114.82 In.upf
Ir 192.22 Ir.upf
CELL_PARAMETERS angstrom
4.567 0.000 0.000
0.000 4.567 0.000
0.000 0.000 4.567
ATOMIC_POSITIONS angstrom
V 0.000 0.000 0.000
In 2.283 2.283 2.283
Ir 0.000 0.000 2.283
Ir 0.000 2.283 0.000
Ir 2.283 0.000 0.000
```

---

(3)
A relaxed VTeI2Cl crystal, computed with PBE. Values from VASP.

- Total moment: 0.5 μB per cell
- Uncorrected formation energy: 6.234 eV per formula unit
- N(E_F): 10.9 states/eV per cell
- SG: P4/mmm, No. 123
- Calculated volume: 34.30 A^3/atom

Geometry as Quantum ESPRESSO input:
```
&SYSTEM
  ibrav = 0, nat = 5, ntyp = 4
/
ATOMIC_SPECIES
V 50.94 V.upf
Te 127.60 Te.upf
I 126.90 I.upf
Cl 35.45 Cl.upf
CELL_PARAMETERS angstrom
5.439 0.000 0.000
0.000 5.439 0.000
0.000 0.000 5.797
ATOMIC_POSITIONS angstrom
V 0.000 0.000 0.000
Te 2.720 2.720 0.000
I 0.000 2.720 2.899
I 2.720 0.000 2.899
Cl 2.720 2.720 2.899
```

---

(4)
A relaxed SrMoI2N crystal, computed with PBE. Values from VASP.

- Total moment: 2.1 μB per cell
- Uncorrected formation energy: 5.403 eV per formula unit
- N(E_F): 7.1 states/eV per cell
- SG: P4/mmm, No. 123
- Calculated volume: 35.24 A^3/atom

Geometry as Quantum ESPRESSO input:
```
&SYSTEM
  ibrav = 0, nat = 5, ntyp = 4
/
ATOMIC_SPECIES
Sr 87.62 Sr.upf
Mo 95.94 Mo.upf
I 126.90 I.upf
N 14.01 N.upf
CELL_PARAMETERS angstrom
5.238 0.000 0.000
0.000 5.238 0.000
0.000 0.000 6.421
ATOMIC_POSITIONS angstrom
Sr 0.000 0.000 0.000
Mo 0.000 0.000 3.211
I 0.000 2.619 3.211
I 2.619 0.000 3.211
N 2.619 2.619 0.000
```

---

(5)
A relaxed MgCr2Cu crystal, computed with PBE. Values from VASP.

- Total moment: 0.0 μB per cell
- Formation enthalpy at 0 K: 41.3 kJ/mol of atoms
- N(E_F): 3.3 states/eV per cell
- SG: Cm, No. 8
- Calculated volume: 13.31 A^3/atom

Geometry as Quantum ESPRESSO input:
```
&SYSTEM
  ibrav = 0, nat = 4, ntyp = 3
/
ATOMIC_SPECIES
Mg 24.30 Mg.upf
Cr 52.00 Cr.upf
Cu 63.55 Cu.upf
CELL_PARAMETERS angstrom
4.237 -1.243 0.000
4.237 1.243 0.000
-0.231 0.000 5.052
ATOMIC_POSITIONS angstrom
Mg 0.000 0.000 0.000
Cr 1.931 0.000 3.530
Cr 3.961 0.000 2.582
Cu 6.262 0.000 1.181
```

---

(6)
A relaxed Zr3Ti2Bi4 crystal, computed with PBE. Values from VASP.

- Total moment: 0.0 μB per cell
- Formation enthalpy at 0 K: -8.7 kJ/mol of atoms
- N(E_F): 7.0 states/eV per cell
- SG: C2/m, No. 12
- Calculated volume: 23.19 A^3/atom

Geometry as Quantum ESPRESSO input:
```
&SYSTEM
  ibrav = 0, nat = 9, ntyp = 3
/
ATOMIC_SPECIES
Zr 91.22 Zr.upf
Ti 47.87 Ti.upf
Bi 208.98 Bi.upf
CELL_PARAMETERS angstrom
4.415 -2.549 0.000
4.415 2.549 0.000
-0.020 0.000 9.273
ATOMIC_POSITIONS angstrom
Zr 0.000 0.000 0.000
Zr 2.942 0.000 2.011
Zr 5.869 0.000 7.262
Ti 2.929 0.000 4.975
Ti 5.882 0.000 4.298
Bi -0.001 0.000 3.115
Bi 2.924 0.000 8.147
Bi 5.886 0.000 1.126
Bi 8.811 0.000 6.157
```

---

Q: Which of these has the highest calculated volume?
A: SrMoI2N

---

Q: total moment of number 5 (MgCr2Cu)?
A: 0.0 μB per cell

---

Q: Look up the calculated volume of the fifth one.
A: 13.31 A^3/atom